[1]
TlZnAu3: optimized geometry, PBE-GGA.

As for the formation energy: -0.081 eV per atom. The total energy comes out at -55.52 eV for the cell shown.

Cell: 8.9689 5.4264 8.7498 Å, 90.00 103.97 90.00°
Space group P2_1/c (No. 14)
Symmetry-distinct sites (fractional):
Tl (0.1200, 0.1037, 0.2076)
Zn (0.4293, 0.6834, 0.6319)
Au (0.1335, 0.6504, 0.0131)
Au (0.2984, 0.5544, 0.3352)
Au (0.3993, 0.1770, 0.5716)



[2]
TlZn12Au6: optimized geometry, PBE-GGA.

As for the formation energy: -0.134 eV per atom. The total energy comes out at -119.60 eV for the cell shown.

Cell: 11.6558 11.6558 8.8708 Å, 90.00 90.00 120.00°
Space group R-3m (No. 166, hexagonal axes)
Symmetry-distinct sites (fractional):
Tl (0.0000, 0.0000, 0.0000)
Zn (0.0000, 0.3887, 0.5000)
Zn (0.0889, 0.1778, 0.2891)
Au (0.0609, 0.5304, 0.2453)



[3]
TlZn3Au3: optimized geometry, PBE-GGA.

As for the formation energy: 0.117 eV per atom. The total energy comes out at -30.40 eV for the cell shown.

Cell: 7.1652 7.1652 7.1652 Å, 90.00 90.00 90.00°
Space group Pm-3n (No. 223)
Symmetry-distinct sites (fractional):
Tl (0.0000, 0.0000, 0.0000)
Zn (0.0000, 0.2500, 0.5000)
Au (0.0000, 0.5000, 0.2500)



[4]
TlZnAu4: optimized geometry, PBE-GGA.

As for the formation energy: -0.030 eV per atom. The total energy comes out at -67.73 eV for the cell shown.

Cell: 13.2573 6.9372 5.7333 Å, 90.00 115.26 90.00°
Space group C2/m (No. 12)
Symmetry-distinct sites (fractional):
Tl (0.2104, 0.0000, 0.3112)
Zn (0.0316, 0.5000, 0.3137)
Au (0.0000, 0.2043, 0.0000)
Au (0.1163, 0.2084, 0.6661)
Au (0.1809, 0.5000, 0.0940)



[5]
TlZn2Au: optimized geometry, PBE-GGA.

As for the formation energy: 0.114 eV per atom. The total energy comes out at -15.47 eV for the cell shown.

Cell: 4.2478 4.2478 8.6214 Å, 90.00 90.00 90.00°
Space group I-4m2 (No. 119)
Symmetry-distinct sites (fractional):
Tl (0.0000, 0.0000, 0.0000)
Zn (0.0000, 0.0000, 0.5000)
Zn (0.0000, 0.5000, 0.7500)
Au (0.0000, 0.5000, 0.2500)



[6]
TlZnAu2: optimized geometry, PBE-GGA.

As for the formation energy: 0.025 eV per atom. The total energy comes out at -10.09 eV for the cell shown.

Cell: 3.5715 4.3584 5.5495 Å, 90.00 104.50 90.00°
Space group P2/m (No. 10)
Symmetry-distinct sites (fractional):
Tl (0.0000, 0.0000, 0.0000)
Zn (0.5000, 0.0000, 0.5000)
Au (0.3538, 0.5000, 0.7262)